[1]
Compound: HfTlTe3Au
Source: OQMD
Functional: GGA-PBE
Structure: relaxed

Computed properties:
Symmetry = No. 62
Energy above the most stable polymorph in this dataset = 12.0 kJ/mol of atoms

Cell lengths 8.4635, 4.5367, 17.9911 Å; angles 90.00, 90.00, 90.00 degrees
Positions (direct):
Hf  0.2397  0.2500  0.0472
Hf  0.2603  0.7500  0.5472
Hf  0.7397  0.2500  0.4528
Hf  0.7603  0.7500  0.9528
Tl  0.1525  0.2500  0.8102
Tl  0.3475  0.7500  0.3102
Tl  0.6525  0.2500  0.6898
Tl  0.8475  0.7500  0.1898
Te  0.0037  0.2500  0.5741
Te  0.1262  0.7500  0.9607
Te  0.1562  0.2500  0.1998
Te  0.3438  0.7500  0.6998
Te  0.3738  0.2500  0.4607
Te  0.4963  0.7500  0.0741
Te  0.5037  0.2500  0.9259
Te  0.6262  0.7500  0.5393
Te  0.6562  0.2500  0.3002
Te  0.8438  0.7500  0.8002
Te  0.8738  0.2500  0.0393
Te  0.9963  0.7500  0.4259
Au  0.0198  0.7500  0.6680
Au  0.4802  0.2500  0.1680
Au  0.5198  0.7500  0.8320
Au  0.9802  0.2500  0.3320

=====

[2]
Compound: BaLuAs
Source: OQMD
Functional: GGA-PBE
Structure: relaxed

Computed properties:
Symmetry = No. 216
Energy above the most stable polymorph in this dataset = 0.0 kJ/mol of atoms

Cell lengths 7.2700, 7.2700, 7.2700 Å; angles 90.00, 90.00, 90.00 degrees
Positions (direct):
Ba  0.0000  0.0000  0.0000
Ba  0.0000  0.5000  0.5000
Ba  0.5000  0.0000  0.5000
Ba  0.5000  0.5000  0.0000
Lu  0.0000  0.0000  0.5000
Lu  0.0000  0.5000  0.0000
Lu  0.5000  0.0000  0.0000
Lu  0.5000  0.5000  0.5000
As  0.2500  0.2500  0.2500
As  0.2500  0.7500  0.7500
As  0.7500  0.2500  0.7500
As  0.7500  0.7500  0.2500

=====

[3]
Compound: UAlIn
Source: OQMD
Functional: GGA-PBE
Structure: relaxed

Computed properties:
Symmetry = No. 216
VASP energy = -0.4045 Ry per atom

Cell lengths 6.7552, 6.7552, 6.7552 Å; angles 90.00, 90.00, 90.00 degrees
Positions (direct):
U  0.0000  0.0000  0.0000
U  0.0000  0.5000  0.5000
U  0.5000  0.0000  0.5000
U  0.5000  0.5000  0.0000
Al  0.2500  0.2500  0.7500
Al  0.2500  0.7500  0.2500
Al  0.7500  0.2500  0.2500
Al  0.7500  0.7500  0.7500
In  0.0000  0.0000  0.5000
In  0.0000  0.5000  0.0000
In  0.5000  0.0000  0.0000
In  0.5000  0.5000  0.5000